VASP calculation (GGA-PBE) on CsHg2TeI8 after structural relaxation.

Cell and atoms, written as POSCAR:
```
CsHg2TeI8
1.0
7.372 -0.038 0.122
-0.067 8.058 1.486
0.023 1.832 11.156
I Hg Te Cs
8 2 1 1
direct
0.194 0.755 0.217
0.467 0.271 0.423
0.760 0.070 0.185
0.720 0.662 0.001
0.533 0.729 0.577
0.806 0.245 0.783
0.280 0.338 0.999
0.240 0.930 0.815
0.442 0.488 0.180
0.558 0.512 0.820
0.000 0.000 0.000
0.000 0.000 0.500
```

Summary:
Fermi-level density of states in states/eV/cell: 2.64
Space group: No. 2
Formation energy without anion corrections in meV/atom: -394
Total moment in μB per atom: 0.00